Compound: LuInCuNi
Source: OQMD
Functional: PBE
Structure: optimized geometry

The space group is F-43m (No. 216) and the conventional cell measures 6.482, 6.482 and 6.482 Å, with angles of 90.00, 90.00 and 90.00 degrees. The inequivalent atoms are Lu at (0.000, 0.000, 0.000), In at (0.000, 0.000, 0.500), Cu at (0.250, 0.250, 0.750) and Ni at (0.250, 0.250, 0.250).

The magnetization comes out at 0.0 μB per cell. The value obtained for the total energy is -4.494 eV/atom. For the energy above the most stable polymorph in this dataset, the calculation gives 0.0 meV per atom. As for the theoretical density: 10.05 Mg/m³.

---

Compound: TmLu2In3CuNi2
Source: OQMD
Functional: PBE
Structure: optimized geometry

The space group is Amm2 (No. 38) and the conventional cell measures 3.788, 12.770 and 7.372 Å, with angles of 90.00, 90.00 and 90.00 degrees. The inequivalent atoms are Tm at (0.000, 0.000, 0.000), Lu at (0.000, 0.206, 0.619), In at (0.500, 0.000, 0.671), In at (0.500, 0.129, 0.283), Cu at (0.000, 0.000, 0.413) and Ni at (0.500, 0.167, 0.913).

The magnetization comes out at 0.0 μB per cell. The value obtained for the total energy is -4.539 eV/atom. As for the theoretical density: 9.73 Mg/m³.

---

Compound: LuInCuOs
Source: OQMD
Functional: PBE
Structure: optimized geometry

The space group is F-43m (No. 216) and the conventional cell measures 6.593, 6.593 and 6.593 Å, with angles of 90.00, 90.00 and 90.00 degrees. The inequivalent atoms are Lu at (0.000, 0.000, 0.000), In at (0.000, 0.000, 0.500), Cu at (0.250, 0.250, 0.750) and Os at (0.250, 0.250, 0.250).

The magnetization comes out at 0.0 μB per cell. The value obtained for the total energy is -5.605 eV/atom. For the energy above the most stable polymorph in this dataset, the calculation gives 0.0 meV per atom. As for the theoretical density: 12.60 Mg/m³.

---

Compound: LuInCuOs
Source: OQMD
Functional: PBE
Structure: optimized geometry

The space group is F-43m (No. 216) and the conventional cell measures 6.613, 6.613 and 6.613 Å, with angles of 90.00, 90.00 and 90.00 degrees. The inequivalent atoms are Lu at (0.000, 0.000, 0.000), In at (0.250, 0.250, 0.250), Cu at (0.000, 0.000, 0.500) and Os at (0.250, 0.250, 0.750).

The magnetization comes out at 0.0 μB per cell. The value obtained for the total energy is -5.318 eV/atom. For the energy above the most stable polymorph in this dataset, the calculation gives 287.4 meV per atom. As for the theoretical density: 12.48 Mg/m³.